Density functional theory data (PBE) for a geometry-optimized Re3Ni2 structure.

Calculated values
Fermi-level density of states: 0.8301 states/eV per atom
Energy above the most stable polymorph in this dataset: 0 meV per atom
Electronic total energy: -9.66 eV per atom
Mass density: 16.5 g/cm3
SG: R-3m (166)

a b c (Å): 10.8272 10.8272 10.8272
angles (deg): 14.38 14.38 14.38
Last column: nearest neighbours and their distance in Å.
Fractional coordinates of all 5 atoms:
Re1 0.0000 0.0000 0.0000  6 Ni 2.61, 6 Re 2.71
Re2 0.2011 0.2011 0.2011  3 Ni 2.67, 9 Re 2.71
Re3 0.7989 0.7989 0.7989  3 Ni 2.67, 9 Re 2.71
Ni1 0.3983 0.3983 0.3983  6 Re 2.61-2.67, 6 Ni 2.71
Ni2 0.6017 0.6017 0.6017  6 Re 2.61-2.67, 6 Ni 2.71

***

Density functional theory data (PBE) for a geometry-optimized ReNi3 structure.

Calculated values
Fermi-level density of states: 1.0781 states/eV per atom
Electronic total energy: -7.44 eV per atom
Mass density: 12.6 g/cm3
SG: P4/mmm (123)

a b c (Å): 2.5904 2.5904 7.1149
angles (deg): 90.00 90.00 90.00
Last column: nearest neighbours and their distance in Å.
Fractional coordinates of all 4 atoms:
Re1 0.0000 0.0000 0.0000  4 Re 2.59, 8 Ni 2.60
Ni1 0.0000 0.0000 0.5000  12 Ni 2.51-2.59
Ni2 0.5000 0.5000 0.2596  8 Ni 2.51-2.59, 4 Re 2.60
Ni3 0.5000 0.5000 0.7404  8 Ni 2.51-2.59, 4 Re 2.60

***

Density functional theory data (PBE) for a geometry-optimized Re3Ni5 structure.

Calculated values
Fermi-level density of states: 1.5752 states/eV per atom
Energy above the most stable polymorph in this dataset: 0 meV per atom
Electronic total energy: -8.18 eV per atom
Mass density: 14.2 g/cm3
SG: Cmmm (65)

a b c (Å): 5.2516 5.2516 3.6113
angles (deg): 90.00 90.00 91.49
Last column: nearest neighbours and their distance in Å.
Fractional coordinates of all 8 atoms:
Re1 0.0000 0.0000 0.0000  4 Re 2.59, 8 Ni 2.62-2.63
Re2 0.2542 0.2542 0.5000  10 Ni 2.55-2.66, 2 Re 2.59
Re3 0.7458 0.7458 0.5000  10 Ni 2.55-2.66, 2 Re 2.59
Ni1 0.0000 0.5000 0.0000  6 Ni 2.57-2.63, 6 Re 2.61-2.63
Ni2 0.2528 0.7472 0.5000  6 Ni 2.57-2.59, 6 Re 2.59-2.66
Ni3 0.5000 0.0000 0.0000  6 Ni 2.57-2.63, 6 Re 2.61-2.63
Ni4 0.5000 0.5000 0.0000  4 Re 2.55, 8 Ni 2.59-2.63
Ni5 0.7472 0.2528 0.5000  6 Ni 2.57-2.59, 6 Re 2.59-2.66

***

Density functional theory data (PBE) for a geometry-optimized Re3Ni structure.

Calculated values
Fermi-level density of states: 0.5694 states/eV per atom
Electronic total energy: -10.82 eV per atom
Mass density: 18.3 g/cm3
SG: P6_3/mmc (194)

a b c (Å): 5.4201 5.4201 8.7938
angles (deg): 90.00 90.00 120.00
Last column: nearest neighbours and their distance in Å.
Fractional coordinates of all 16 atoms:
Re1 0.0000 0.5000 0.0000  4 Ni 2.70-2.71, 8 Re 2.70-2.71
Re2 0.0000 0.5000 0.5000  4 Ni 2.70-2.71, 8 Re 2.70-2.71
Re3 0.1664 0.3328 0.2500  4 Ni 2.70-2.71, 8 Re 2.70-2.71
Re4 0.1664 0.8336 0.2500  4 Ni 2.70-2.71, 8 Re 2.70-2.71
Re5 0.3328 0.1664 0.7500  4 Ni 2.70-2.71, 8 Re 2.70-2.71
Re6 0.5000 0.0000 0.0000  4 Ni 2.70-2.71, 8 Re 2.70-2.71
Re7 0.5000 0.0000 0.5000  4 Ni 2.70-2.71, 8 Re 2.70-2.71
Re8 0.5000 0.5000 0.0000  4 Ni 2.70-2.71, 8 Re 2.70-2.71
Re9 0.5000 0.5000 0.5000  4 Ni 2.70-2.71, 8 Re 2.70-2.71
Re10 0.6672 0.8336 0.2500  4 Ni 2.70-2.71, 8 Re 2.70-2.71
Re11 0.8336 0.1664 0.7500  4 Ni 2.70-2.71, 8 Re 2.70-2.71
Re12 0.8336 0.6672 0.7500  4 Ni 2.70-2.71, 8 Re 2.70-2.71
Ni1 0.0000 0.0000 0.0000  12 Re 2.70-2.71
Ni2 0.0000 0.0000 0.5000  12 Re 2.70-2.71
Ni3 0.3333 0.6667 0.7500  12 Re 2.70-2.71
Ni4 0.6667 0.3333 0.2500  12 Re 2.70-2.71

***

Density functional theory data (PBE) for a geometry-optimized Re2Ni structure.

Calculated values
Fermi-level density of states: 1.0208 states/eV per atom
Energy above the most stable polymorph in this dataset: 79 meV per atom
Electronic total energy: -10.18 eV per atom
Mass density: 17.4 g/cm3
SG: Pnma (62)

a b c (Å): 5.3624 3.8147 8.0673
angles (deg): 90.00 90.00 90.00
Last column: nearest neighbours and their distance in Å.
Fractional coordinates of all 12 atoms:
Re1 0.1188 0.2500 0.2446  7 Re 2.64-2.71, 5 Ni 2.69-2.74
Re2 0.1313 0.2500 0.9170  5 Ni 2.64-2.72, 7 Re 2.64-2.72
Re3 0.3687 0.7500 0.4170  5 Ni 2.64-2.72, 7 Re 2.64-2.72
Re4 0.3812 0.7500 0.7446  7 Re 2.64-2.71, 5 Ni 2.69-2.74
Re5 0.6188 0.2500 0.2554  7 Re 2.64-2.71, 5 Ni 2.69-2.74
Re6 0.6313 0.2500 0.5830  5 Ni 2.64-2.72, 7 Re 2.64-2.72
Re7 0.8687 0.7500 0.0830  5 Ni 2.64-2.72, 7 Re 2.64-2.72
Re8 0.8812 0.7500 0.7554  7 Re 2.64-2.71, 5 Ni 2.69-2.74
Ni1 0.1242 0.2500 0.5841  10 Re 2.64-2.74, 2 Ni 2.69
Ni2 0.3758 0.7500 0.0841  10 Re 2.64-2.74, 2 Ni 2.69
Ni3 0.6242 0.2500 0.9159  10 Re 2.64-2.74, 2 Ni 2.69
Ni4 0.8758 0.7500 0.4159  10 Re 2.64-2.74, 2 Ni 2.69

***

Density functional theory data (PBE) for a geometry-optimized Re2Ni structure.

Calculated values
Fermi-level density of states: 0.7362 states/eV per atom
Energy above the most stable polymorph in this dataset: 139 meV per atom
Electronic total energy: -10.12 eV per atom
Mass density: 17.5 g/cm3
SG: P6_3/mmc (194)

a b c (Å): 4.2216 4.2216 5.3055
angles (deg): 90.00 90.00 120.00
Last column: nearest neighbours and their distance in Å.
Fractional coordinates of all 6 atoms:
Re1 0.0000 0.0000 0.0000  8 Re 2.65-2.77, 6 Ni 2.77
Re2 0.0000 0.0000 0.5000  8 Re 2.65-2.77, 6 Ni 2.77
Re3 0.3333 0.6667 0.2500  5 Ni 2.44-2.65
Re4 0.6667 0.3333 0.7500  5 Ni 2.44-2.65
Ni1 0.3333 0.6667 0.7500  5 Re 2.44-2.65
Ni2 0.6667 0.3333 0.2500  5 Re 2.44-2.65